1.
Entry from Alexandria via LeMat-Bulk: crystalline IrPd at its relaxed geometry (GGA-PBE).

Lattice parameters (Å, degrees): 4.8035 4.8037 4.8037 33.26 33.26 33.26
Closest atoms and distances in Å follow each position.
Fractional positions:
Pd: 0.5000 0.5000 0.5000  6 Pd 2.75, 6 Ir 2.77
Ir: 0.0000 0.0000 0.0000  6 Ir 2.75, 6 Pd 2.77

Calculated values
space-group type	R-3m
ρ	16.70	g/cm³
total energy	-6.895	eV/atom
V	29.7	Å³/f.u.
formation enthalpy at 0 K	0.132	eV/atom



2.
Entry from Alexandria via LeMat-Bulk: crystalline Al10V6Mo at its relaxed geometry (GGA-PBE).

Lattice parameters (Å, degrees): 5.2965 7.5182 7.5182 120.00 90.00 90.00
Closest atoms and distances in Å follow each position.
Fractional positions:
Al: 0.1780 0.0000 0.7208  5 V 2.61-2.76, 1 Mo 2.70, 4 Al 2.82-2.89
Al: 0.5000 0.6667 0.3333  6 V 2.57, 2 Al 2.65
Al: 0.1780 0.2792 0.2792  5 V 2.61-2.76, 1 Mo 2.70, 4 Al 2.82-2.89
Al: 0.8220 0.0000 0.2792  5 V 2.61-2.76, 1 Mo 2.70, 4 Al 2.82-2.89
Al: 0.0000 0.3333 0.6667  8 Al 2.65-2.89, 6 V 2.93
Al: 0.5000 0.3333 0.6667  6 V 2.57, 2 Al 2.65
Al: 0.0000 0.6667 0.3333  8 Al 2.65-2.89, 6 V 2.93
Al: 0.8220 0.2792 0.0000  5 V 2.61-2.76, 1 Mo 2.70, 4 Al 2.82-2.89
Al: 0.1780 0.7208 0.0000  5 V 2.61-2.76, 1 Mo 2.70, 4 Al 2.82-2.89
Al: 0.8220 0.7208 0.7208  5 V 2.61-2.76, 1 Mo 2.70, 4 Al 2.82-2.89
Mo: 0.5000 0.0000 0.0000  6 Al 2.70, 6 V 2.93
V: 0.6800 0.3681 0.3681  7 Al 2.57-2.76, 1 V 2.75
V: 0.3200 0.0000 0.3681  7 Al 2.57-2.76, 1 V 2.75
V: 0.3200 0.3681 0.0000  7 Al 2.57-2.76, 1 V 2.75
V: 0.6800 0.0000 0.6319  7 Al 2.57-2.76, 1 V 2.75
V: 0.6800 0.6319 0.0000  7 Al 2.57-2.76, 1 V 2.75
V: 0.3200 0.6319 0.6319  7 Al 2.57-2.76, 1 V 2.75

Calculated values
space-group type	P-31m
ρ	4.30	g/cm³
total energy	-6.058	eV/atom
V	259.3	Å³/f.u.
formation enthalpy at 0 K	-0.001	eV/atom



3.
Entry from Alexandria via LeMat-Bulk: crystalline Mg3Ti4P6O24 at its relaxed geometry (GGA-PBE).

Lattice parameters (Å, degrees): 6.4800 8.0384 9.4217 104.64 107.85 101.61
Closest atoms and distances in Å follow each position.
Fractional positions:
O: 0.0461 0.1448 0.7218  1 P 1.54
O: 0.7729 0.5309 0.2368  1 P 1.56
O: 0.2066 0.9555 0.0843  1 P 1.57
O: 0.8783 0.2752 0.5109  1 P 1.58
O: 0.5180 0.6936 0.6629  1 P 1.56
O: 0.5907 0.2841 0.9057  1 P 1.50
O: 0.2271 0.4691 0.7632  1 P 1.56
O: 0.2535 0.2236 0.5446  1 P 1.54
O: 0.7934 0.0445 0.9157  1 P 1.57
O: 0.9539 0.8552 0.2782  1 P 1.54
O: 0.7246 0.6938 0.9382  1 P 1.56
O: 0.6996 0.4494 0.6962  1 P 1.52
O: 0.3004 0.5506 0.3038  1 P 1.52
O: 0.4820 0.3064 0.3371  1 P 1.56
O: 0.0483 0.2370 0.2299  1 P 1.56
O: 0.1217 0.7248 0.4891  1 P 1.58
O: 0.4451 0.9580 0.3476  1 P 1.58
O: 0.2754 0.3062 0.0618  1 P 1.56
O: 0.3663 0.9597 0.8349  1 P 1.56
O: 0.6337 0.0403 0.1651  1 P 1.56
O: 0.5549 0.0420 0.6524  1 P 1.58
O: 0.9517 0.7630 0.7701  1 P 1.56
O: 0.4093 0.7159 0.0943  1 P 1.50
O: 0.7465 0.7764 0.4554  1 P 1.54
Mg: 0.2137 0.6944 0.7082  5 O 2.02-2.14
Mg: 0.5000 0.5000 0.0000  4 O 2.02-2.22
Mg: 0.7863 0.3056 0.2918  5 O 2.02-2.14
P: 0.1052 0.2773 0.6370  4 O 1.54-1.58
P: 0.2763 0.3517 0.2329  4 O 1.52-1.56
P: 0.5746 0.0913 0.8305  4 O 1.50-1.58
P: 0.8948 0.7227 0.3630  4 O 1.54-1.58
P: 0.4254 0.9087 0.1695  4 O 1.50-1.58
P: 0.7237 0.6483 0.7671  4 O 1.52-1.56
Ti: 0.4536 0.7813 0.4725  6 O 1.94-2.17
Ti: 0.5464 0.2187 0.5275  6 O 1.94-2.17
Ti: 0.8982 0.9593 0.1089  6 O 1.95-2.14
Ti: 0.1018 0.0407 0.8911  6 O 1.95-2.14

Calculated values
space-group type	P-1
E_form (uncorrected)	-2.54	eV per atom
ρ	3.22	g/cm³
total energy	-7.618	eV/atom
V	430.8	Å³/f.u.



4.
Entry from Alexandria via LeMat-Bulk: crystalline LaMgCl2 at its relaxed geometry (GGA-PBE).

Lattice parameters (Å, degrees): 6.2468 6.2468 6.2468 145.16 119.66 71.61
Closest atoms and distances in Å follow each position.
Fractional positions:
Mg: 0.2500 0.7500 0.5000  8 Cl 3.46-3.81, 4 La 3.65, 2 Mg 3.74
Cl: 0.5374 0.5374 0.0000  2 La 2.85
Cl: 0.9626 0.9626 0.0000  2 La 2.85
La: 0.7500 0.2500 0.5000  4 Cl 2.85

Calculated values
space-group type	Immm
E_form (uncorrected)	-1.23	eV per atom
ρ	3.27	g/cm³
E above lowest polymorph	101.5	meV per atom
total energy	-3.788	eV/atom
V	119.0	Å³/f.u.



5.
Entry from Alexandria via LeMat-Bulk: crystalline TlCr2Co at its relaxed geometry (GGA-PBE).

Lattice parameters (Å, degrees): 4.4513 4.4513 4.4513 60.00 60.00 60.00
Closest atoms and distances in Å follow each position.
Fractional positions:
Cr: 0.7500 0.7500 0.7500  4 Tl 2.73, 4 Co 2.73
Cr: 0.2500 0.2500 0.2500  4 Tl 2.73, 4 Co 2.73
Co: 0.0000 0.0000 0.0000  8 Cr 2.73
Tl: 0.5000 0.5000 0.5000  8 Cr 2.73

Calculated values
space-group type	Fm-3m
ρ	9.78	g/cm³
E above lowest polymorph	215.2	meV per atom
total energy	-6.493	eV/atom
V	62.4	Å³/f.u.
formation enthalpy at 0 K	0.687	eV/atom



6.
Entry from Alexandria via LeMat-Bulk: crystalline LiPm3Se2F6 at its relaxed geometry (GGA-PBE).

Lattice parameters (Å, degrees): 4.9594 7.8142 7.6086 120.90 79.61 90.00
Closest atoms and distances in Å follow each position.
Fractional positions:
Pm: 0.0000 0.5000 0.0000  4 F 2.28
Pm: 0.5000 0.0000 0.5000  4 F 2.33-2.40
Pm: 0.5000 0.5000 0.5000  4 F 2.33-2.40
Li: 0.5000 0.0000 0.0000  2 F 1.88
F: 0.5192 0.8545 0.7090  1 Li 1.88
F: 0.3135 0.6274 0.8528  2 Pm 2.28-2.33
F: 0.3135 0.2253 0.8528  2 Pm 2.28-2.33
F: 0.6865 0.3726 0.1472  2 Pm 2.28-2.33
F: 0.4808 0.1455 0.2910  1 Li 1.88
F: 0.6865 0.7747 0.1472  2 Pm 2.28-2.33
Se: 0.0757 0.7145 0.4289  3 Pm 2.90-2.98, 2 F 2.97-3.14
Se: 0.9243 0.2855 0.5711  3 Pm 2.90-2.98, 2 F 2.97-3.14

Calculated values
space-group type	C2/m
E_form (uncorrected)	-3.14	eV per atom
ρ	4.79	g/cm³
total energy	-6.006	eV/atom
V	247.4	Å³/f.u.



7.
Entry from Alexandria via LeMat-Bulk: crystalline SrMnFe2 at its relaxed geometry (GGA-PBE).

Lattice parameters (Å, degrees): 5.5956 5.5956 5.5956 148.94 126.26 63.38
Closest atoms and distances in Å follow each position.
Fractional positions:
Fe: 0.5377 0.5377 0.0000  2 Mn 2.52
Fe: 0.9623 0.9623 0.0000  2 Mn 2.52
Mn: 0.7500 0.2500 0.5000  4 Fe 2.52
Sr: 0.2500 0.7500 0.5000  4 Mn 2.94, 2 Sr 3.00, 8 Fe 3.12-3.24

Calculated values
space-group type	Immm
ρ	5.85	g/cm³
total energy	-6.069	eV/atom
V	72.2	Å³/f.u.
formation enthalpy at 0 K	0.876	eV/atom



8.
Entry from Alexandria via LeMat-Bulk: crystalline PuHf2Ti at its relaxed geometry (GGA-PBE).

Lattice parameters (Å, degrees): 3.2327 5.1112 5.1112 90.00 90.00 90.00
Closest atoms and distances in Å follow each position.
Fractional positions:
Ti: 0.5000 0.5000 0.5000  8 Hf 3.02, 2 Ti 3.23
Hf: 0.0000 0.0000 0.5000  4 Ti 3.02, 4 Pu 3.02, 2 Hf 3.23
Hf: 0.0000 0.5000 0.0000  4 Pu 3.02, 4 Ti 3.02, 2 Hf 3.23
Pu: 0.5000 0.0000 0.0000  8 Hf 3.02, 2 Pu 3.23

Calculated values
space-group type	P4/mmm
ρ	12.76	g/cm³
E above lowest polymorph	33.1	meV per atom
total energy	-10.339	eV/atom
V	84.5	Å³/f.u.
formation enthalpy at 0 K	0.194	eV/atom



9.
Entry from Alexandria via LeMat-Bulk: crystalline Th3Al3Zn at its relaxed geometry (GGA-PBE).

Lattice parameters (Å, degrees): 4.5083 6.0168 13.9683 84.09 80.71 68.00
Closest atoms and distances in Å follow each position.
Fractional positions:
Al: 0.1070 0.8603 0.9257  2 Al 2.63-2.68
Al: 0.8651 0.7243 0.5455  3 Zn 2.63-2.87, 1 Al 2.85
Al: 0.0384 0.1562 0.7670  1 Zn 2.66, 1 Al 2.68
Al: 0.8930 0.1397 0.0743  2 Al 2.63-2.68
Al: 0.9616 0.8438 0.2330  1 Zn 2.66, 1 Al 2.68
Al: 0.1349 0.2757 0.4545  3 Zn 2.63-2.87, 1 Al 2.85
Th: 0.5333 0.3159 0.6174  7 Al 3.16-3.49, 4 Zn 3.21-3.39
Th: 0.4667 0.6841 0.3826  7 Al 3.16-3.49, 4 Zn 3.21-3.39
Th: 0.3954 0.2896 0.9195  7 Al 3.19-3.29
Th: 0.6046 0.7104 0.0805  7 Al 3.19-3.29
Th: 0.2550 0.2665 0.2236  6 Al 3.15-3.26, 2 Zn 3.36
Th: 0.7450 0.7335 0.7764  6 Al 3.15-3.26, 2 Zn 3.36
Zn: 0.7574 0.0924 0.3929  4 Al 2.63-2.87
Zn: 0.2426 0.9076 0.6071  4 Al 2.63-2.87

Calculated values
space-group type	C2/m
ρ	8.08	g/cm³
total energy	-5.301	eV/atom
V	173.2	Å³/f.u.
formation enthalpy at 0 K	-0.335	eV/atom



10.
Entry from Alexandria via LeMat-Bulk: crystalline Al2P2Pb at its relaxed geometry (GGA-PBE).

Lattice parameters (Å, degrees): 7.4702 7.4702 3.3355 90.00 90.00 90.00
Closest atoms and distances in Å follow each position.
Fractional positions:
Al: 0.3724 0.8724 0.0000  6 P 2.68-2.86, 1 Al 2.70, 2 Pb 2.94
Al: 0.1276 0.3724 0.0000  6 P 2.68-2.86, 1 Al 2.70, 2 Pb 2.94
Al: 0.8724 0.6276 0.0000  6 P 2.68-2.86, 1 Al 2.70, 2 Pb 2.94
Al: 0.6276 0.1276 0.0000  6 P 2.68-2.86, 1 Al 2.70, 2 Pb 2.94
P: 0.8478 0.3478 0.5000  6 Al 2.68-2.86
P: 0.3478 0.1522 0.5000  6 Al 2.68-2.86
P: 0.1522 0.6522 0.5000  6 Al 2.68-2.86
P: 0.6522 0.8478 0.5000  6 Al 2.68-2.86
Pb: 0.0000 0.0000 0.0000  4 Al 2.94, 8 P 3.29
Pb: 0.5000 0.5000 0.0000  4 Al 2.94, 8 P 3.29

Calculated values
space-group type	P4/mbm
ρ	5.77	g/cm³
E above lowest polymorph	230.7	meV per atom
total energy	-4.243	eV/atom
V	93.1	Å³/f.u.
formation enthalpy at 0 K	0.160	eV/atom